Below is a relaxed structure of Tb3MoCl2O6, with properties calculated at the PBE with a Hubbard U level.

Summary:
- Total energy: -6.9755 eV/atom

Geometry as extended XYZ:
```
12
Lattice="5.7684 -3.2988 0.0000 5.7684 3.2988 0.0000 -0.9838 0.0000 5.4156" Properties=species:S:1:pos:R:3 pbc="T T T"
Tb 0.0000 0.0000 0.0000
Tb 2.3923 1.6494 2.7078
Tb 2.3923 -1.6494 2.7078
Mo 5.2765 0.0000 2.7078
Cl 1.5593 0.0000 4.6252
Cl 8.9937 0.0000 0.7904
O 4.3917 1.5843 3.8026
O 6.1613 1.5843 1.6130
O 3.5323 0.0000 1.8003
O 7.0207 0.0000 3.6153
O 4.3917 -1.5843 3.8026
O 6.1613 -1.5843 1.6130
```